Computed, not measured: crystalline Ni2ClO3 at its relaxed geometry at the PBE with a Hubbard U level of DFT.

a = 5.735 Å, b = 6.306 Å, c = 8.297 Å
α = 90.00°, β = 90.00°, γ = 90.00°
Last column: magnetic moment on the atom in μB.
Fractional coordinates of all 24 atoms:
Cl 0.826 0.750 0.470  0.02
Cl 0.326 0.750 0.030  0.02
Cl 0.674 0.250 0.970  0.02
Cl 0.174 0.250 0.530  0.02
Ni 0.000 0.000 0.000  1.26
Ni 0.804 0.750 0.744  0.72
Ni 0.000 0.500 0.000  1.26
Ni 0.196 0.250 0.256  0.72
Ni 0.500 0.500 0.500  1.26
Ni 0.304 0.750 0.756  0.72
Ni 0.696 0.250 0.244  0.72
Ni 0.500 0.000 0.500  1.26
O 0.812 0.750 0.974  -0.33
O 0.449 0.447 0.275  -0.27
O 0.688 0.250 0.474  -0.33
O 0.051 0.947 0.775  -0.27
O 0.449 0.053 0.275  -0.27
O 0.051 0.553 0.775  -0.27
O 0.949 0.053 0.225  -0.27
O 0.188 0.250 0.026  -0.33
O 0.551 0.553 0.725  -0.27
O 0.551 0.947 0.725  -0.27
O 0.312 0.750 0.526  -0.33
O 0.949 0.447 0.225  -0.27

Calculated values
For the total energy, the calculation gives -98.04 eV per cell. As for the total magnetization: 0.1667 μB per atom. The space group is Pnma, No. 62.